V2ReRu | GGA-PBE | relaxed

Energy relative to the elements (eV/atom): 0.501
Spin magnetization (μB/cell): 0.00
Distance to the lowest polymorph of the same formula (eV/atom): 0.815
E_tot (eV per cell): -75.91
SG: No. 122

Unit cell a=6.8061 b=6.8061 c=5.4657 alpha=51.49 beta=51.49 gamma=90.00
Element x y z (fractional)
V 0.6181 0.1250 0.2500
V 0.8750 0.8681 0.7500
V 0.1319 0.6250 0.2500
V 0.3750 0.3819 0.7500
Re 0.7500 0.2500 0.5000
Re 0.0000 0.0000 0.0000
Ru 0.5000 0.5000 0.0000
Ru 0.2500 0.7500 0.5000

=====

VReRu2 | GGA-PBE | relaxed

Energy relative to the elements (eV/atom): 0.601
Spin magnetization (μB/cell): 0.00
Distance to the lowest polymorph of the same formula (eV/atom): 0.654
E_tot (eV per cell): -75.43
SG: No. 122

Unit cell a=3.7806 b=3.7806 c=9.0454 alpha=77.94 beta=77.94 gamma=90.00
Element x y z (fractional)
Ru 0.8750 0.8579 0.7500
Ru 0.1421 0.6250 0.2500
Ru 0.6079 0.1250 0.2500
Ru 0.3750 0.3921 0.7500
Re 0.7500 0.2500 0.5000
Re 0.0000 0.0000 0.0000
V 0.5000 0.5000 0.0000
V 0.2500 0.7500 0.5000

=====

V4Re2Ru | GGA-PBE | relaxed

Energy relative to the elements (eV/atom): 0.028
Spin magnetization (μB/cell): 0.00
Distance to the lowest polymorph of the same formula (eV/atom): 0.000
E_tot (eV per cell): -70.45
SG: No. 139

Unit cell a=5.1790 b=5.1790 c=5.1790 alpha=109.12 beta=109.65 gamma=109.65
Element x y z (fractional)
Re 0.5000 0.5000 0.0000
Re 0.5000 0.0000 0.5000
V 0.5000 0.0000 0.0000
V 0.0000 0.5000 0.0000
V 0.5000 0.5000 0.5000
V 0.0000 0.0000 0.5000
Ru 0.0000 0.0000 0.0000

=====

VReRu | GGA-PBE | relaxed

Energy relative to the elements (eV/atom): -0.090
Spin magnetization (μB/cell): 0.00
Distance to the lowest polymorph of the same formula (eV/atom): 0.000
E_tot (eV per cell): -62.23
SG: No. 12

Unit cell a=3.0102 b=5.0893 c=6.6765 alpha=61.11 beta=76.97 gamma=72.80
Element x y z (fractional)
V 0.1934 0.8725 0.6929
V 0.1662 0.4164 0.2032
Re 0.8393 0.3989 0.8746
Re 0.5203 0.8899 0.0215
Ru 0.8342 0.9310 0.3526
Ru 0.5254 0.3578 0.5435

=====

VReRu2 | GGA-PBE | relaxed

Energy relative to the elements (eV/atom): -0.053
Spin magnetization (μB/cell): 0.00
Distance to the lowest polymorph of the same formula (eV/atom): 0.000
E_tot (eV per cell): -40.33
SG: No. 123

Unit cell a=3.8147 b=3.8453 c=3.8453 alpha=90.00 beta=90.00 gamma=90.00
Element x y z (fractional)
V 0.5000 0.5000 0.5000
Ru 0.0000 0.0000 0.5000
Ru 0.0000 0.5000 0.0000
Re 0.5000 0.0000 0.0000

=====

V5ReRu2 | GGA-PBE | relaxed

Energy relative to the elements (eV/atom): -0.330
Spin magnetization (μB/cell): 0.00
E_tot (eV per cell): -79.24
SG: No. 139

Unit cell a=4.2478 b=4.2478 c=6.7508 alpha=108.34 beta=108.34 gamma=90.00
Element x y z (fractional)
V 0.3777 0.8777 0.7553
V 0.6223 0.1223 0.2447
V 0.1223 0.6223 0.2447
V 0.8777 0.3777 0.7553
V 0.5000 0.5000 0.0000
Re 0.0000 0.0000 0.0000
Ru 0.2505 0.2505 0.5009
Ru 0.7495 0.7495 0.4991

=====

V4ReRu2 | GGA-PBE | relaxed

Energy relative to the elements (eV/atom): 1.032
Spin magnetization (μB/cell): 3.64
E_tot (eV per cell): -60.25
SG: No. 139

Unit cell a=4.5335 b=4.5335 c=6.9133 alpha=70.86 beta=70.86 gamma=90.00
Element x y z (fractional)
Re 0.0000 0.0000 0.0000
Ru 0.6157 0.6157 0.7686
Ru 0.3843 0.3843 0.2314
V 0.2000 0.2000 0.6000
V 0.8000 0.8000 0.4000
V 0.5000 0.0000 0.0000
V 0.0000 0.5000 0.0000

=====

V4Re2Ru | GGA-PBE | relaxed

Energy relative to the elements (eV/atom): 1.110
Spin magnetization (μB/cell): 0.91
Distance to the lowest polymorph of the same formula (eV/atom): 1.081
E_tot (eV per cell): -62.88
SG: No. 139

Unit cell a=4.4397 b=4.4397 c=6.9475 alpha=71.37 beta=71.37 gamma=90.00
Element x y z (fractional)
V 0.0000 0.5000 0.0000
V 0.8040 0.8040 0.3920
V 0.1960 0.1960 0.6080
V 0.5000 0.0000 0.0000
Re 0.3832 0.3832 0.2337
Re 0.6168 0.6168 0.7663
Ru 0.0000 0.0000 0.0000

=====

VReRu2 | GGA-PBE | relaxed

Energy relative to the elements (eV/atom): 0.194
Spin magnetization (μB/cell): 1.82
Distance to the lowest polymorph of the same formula (eV/atom): 0.247
E_tot (eV per cell): -39.34
SG: No. 225

Unit cell a=4.3291 b=4.3291 c=4.3291 alpha=60.00 beta=60.00 gamma=60.00
Element x y z (fractional)
Re 0.5000 0.5000 0.5000
Ru 0.2500 0.2500 0.2500
Ru 0.7500 0.7500 0.7500
V 0.0000 0.0000 0.0000

=====

VRe2Ru5 | GGA-PBE | relaxed

Energy relative to the elements (eV/atom): -0.020
Spin magnetization (μB/cell): 0.00
E_tot (eV per cell): -80.55
SG: No. 139

Unit cell a=5.4218 b=5.4222 c=5.4220 alpha=119.74 beta=119.74 gamma=90.46
Element x y z (fractional)
Re 0.7776 0.2779 0.4998
Re 0.2778 0.7781 0.5002
Ru 0.7779 0.7779 0.5000
Ru 0.7780 0.2780 0.0000
Ru 0.2779 0.2779 0.5000
Ru 0.2782 0.2776 0.0000
Ru 0.2778 0.7778 0.0000
V 0.7778 0.7779 0.0000

=====

V3ReRu2 | GGA-PBE | relaxed

Energy relative to the elements (eV/atom): -0.282
Spin magnetization (μB/cell): 0.00
E_tot (eV per cell): -120.10
SG: No. 65

Unit cell a=4.2714 b=6.7611 c=6.0386 alpha=90.00 beta=90.00 gamma=71.59
Element x y z (fractional)
Ru 0.0000 0.0000 0.5000
Ru 0.6653 0.6695 0.5000
Ru 0.0000 0.0000 0.0000
Ru 0.3347 0.3305 0.5000
Re 0.3346 0.3307 0.0000
Re 0.6654 0.6693 0.0000
V 0.1685 0.6629 0.7540
V 0.1685 0.6629 0.2460
V 0.5000 0.0000 0.7532
V 0.8315 0.3371 0.7540
V 0.5000 0.0000 0.2468
V 0.8315 0.3371 0.2460

=====

V7Re3Ru2 | GGA-PBE | relaxed

Energy relative to the elements (eV/atom): 0.085
Spin magnetization (μB/cell): 0.00
E_tot (eV per cell): -118.71
SG: No. 65

Unit cell a=4.2105 b=4.2490 c=10.3595 alpha=101.83 beta=90.00 gamma=90.00
Element x y z (fractional)
Ru 0.0000 0.8496 0.6991
Ru 0.0000 0.1504 0.3009
V 0.0000 0.5720 0.1440
V 0.5000 0.9235 0.8470
V 0.5000 0.0765 0.1530
V 0.0000 0.0000 0.0000
V 0.0000 0.7144 0.4287
V 0.0000 0.2856 0.5713
V 0.0000 0.4280 0.8560
Re 0.5000 0.5000 0.0000
Re 0.5000 0.3516 0.7033
Re 0.5000 0.6484 0.2967